(1)
# Pm5Co2Sn5

A geometry-optimized Pm5Co2Sn5 structure (PBE-GGA, Alexandria via LeMat-Bulk).

Calculated values
Energy relative to the elements ... -45 kJ per mole of atoms

a = 4.474 Å, b = 6.349 Å, c = 11.729 Å
α = 83.72°, β = 90.00°, γ = 110.63°
Sites, in units of the cell vectors:
Pm  0.500  0.000  0.500
Pm  0.655  0.310  0.128
Pm  0.808  0.617  0.391
Pm  0.192  0.383  0.609
Pm  0.345  0.690  0.872
Co  0.039  0.078  0.785
Co  0.961  0.922  0.215
Sn  0.125  0.250  0.337
Sn  0.640  0.279  0.831
Sn  0.360  0.721  0.169
Sn  0.875  0.750  0.663
Sn  0.000  0.000  0.000

=====

(2)
# Pm3Co2Sn6

A geometry-optimized Pm3Co2Sn6 structure (PBE-GGA, Alexandria via LeMat-Bulk).

Calculated values
Energy relative to the elements ... -41 kJ per mole of atoms

a = 4.291 Å, b = 4.291 Å, c = 15.213 Å
α = 98.11°, β = 98.11°, γ = 90.00°
Site moments in Bohr magnetons follow the coordinates.
Sites, in units of the cell vectors:
Pm  0.000  0.000  0.000  0.01
Pm  0.832  0.832  0.665  -0.01
Pm  0.168  0.168  0.335  -0.01
Co  0.360  0.360  0.719  0.31
Co  0.640  0.640  0.281  0.31
Sn  0.083  0.583  0.166  0.00
Sn  0.583  0.083  0.166  0.00
Sn  0.917  0.417  0.834  0.00
Sn  0.417  0.917  0.834  0.00
Sn  0.725  0.725  0.450  -0.01
Sn  0.275  0.275  0.550  -0.01

=====

(3)
# Pm3Co3Sn4

A geometry-optimized Pm3Co3Sn4 structure (PBE-GGA, Alexandria via LeMat-Bulk).

Calculated values
Energy relative to the elements ... -38 kJ per mole of atoms

a = 8.340 Å, b = 8.340 Å, c = 8.340 Å
α = 109.47°, β = 109.47°, γ = 109.47°
Sites, in units of the cell vectors:
Pm  0.625  0.750  0.875
Pm  0.875  0.250  0.625
Pm  0.125  0.375  0.250
Pm  0.375  0.125  0.750
Pm  0.250  0.875  0.125
Pm  0.750  0.625  0.375
Co  0.125  0.750  0.375
Co  0.375  0.250  0.125
Co  0.625  0.875  0.250
Co  0.875  0.625  0.750
Co  0.250  0.375  0.625
Co  0.750  0.125  0.875
Sn  0.000  0.000  0.353
Sn  0.500  0.353  0.500
Sn  0.647  0.147  0.147
Sn  0.000  0.000  0.853
Sn  0.853  0.500  0.000
Sn  0.500  0.853  0.500
Sn  0.353  0.500  0.000
Sn  0.147  0.647  0.647